1.
Compound: BaAl2Pb
Source: Alexandria via LeMat-Bulk
Functional: GGA-PBEsol
Structure: relaxed

Structure (CIF):
```
data_BaAl2Pb
_chemical_formula_sum 'Ba1 Al2 Pb1'
_cell_length_a 4.762
_cell_length_b 4.779
_cell_length_c 4.779
_cell_angle_alpha 90.00
_cell_angle_beta 90.00
_cell_angle_gamma 90.00
_symmetry_space_group_name_H-M 'P 1'
_symmetry_Int_Tables_number 1
loop_
_symmetry_equiv_pos_as_xyz
'x,y,z'
loop_
_atom_site_label
_atom_site_type_symbol
_atom_site_fract_x
_atom_site_fract_y
_atom_site_fract_z
_atom_site_occupancy
Al1 Al 0.000 0.000 0.500 1
Al2 Al 0.000 0.500 0.000 1
Pb1 Pb 0.500 0.000 0.000 1
Ba1 Ba 0.500 0.500 0.500 1
```

Results
Formation energy in eV/atom: 0.0103
Crystal system: tetragonal
Raw total energy in eV/atom: -3.57

=====

2.
Compound: BaAl2Pb2
Source: Alexandria via LeMat-Bulk
Functional: GGA-PBEsol
Structure: relaxed

Structure (CIF):
```
data_BaAl2Pb2
_chemical_formula_sum 'Ba1 Al2 Pb2'
_cell_length_a 5.126
_cell_length_b 5.126
_cell_length_c 6.484
_cell_angle_alpha 113.29
_cell_angle_beta 113.29
_cell_angle_gamma 90.00
_symmetry_space_group_name_H-M 'P 1'
_symmetry_Int_Tables_number 1
loop_
_symmetry_equiv_pos_as_xyz
'x,y,z'
loop_
_atom_site_label
_atom_site_type_symbol
_atom_site_fract_x
_atom_site_fract_y
_atom_site_fract_z
_atom_site_occupancy
Al1 Al 0.379 0.379 0.759 1
Al2 Al 0.621 0.621 0.241 1
Pb1 Pb 0.250 0.750 0.500 1
Pb2 Pb 0.750 0.250 0.500 1
Ba1 Ba 0.000 0.000 0.000 1
```

Results
Formation energy in eV/atom: -0.2263
Crystal system: tetragonal
Raw total energy in eV/atom: -3.89

=====

3.
Compound: BaAl2Pb
Source: Alexandria via LeMat-Bulk
Functional: GGA-PBEsol
Structure: relaxed

Structure (CIF):
```
data_BaAl2Pb
_chemical_formula_sum 'Ba1 Al2 Pb1'
_cell_length_a 3.742
_cell_length_b 4.007
_cell_length_c 7.434
_cell_angle_alpha 90.00
_cell_angle_beta 90.00
_cell_angle_gamma 90.00
_symmetry_space_group_name_H-M 'P 1'
_symmetry_Int_Tables_number 1
loop_
_symmetry_equiv_pos_as_xyz
'x,y,z'
loop_
_atom_site_label
_atom_site_type_symbol
_atom_site_fract_x
_atom_site_fract_y
_atom_site_fract_z
_atom_site_occupancy
Al1 Al 0.000 0.000 0.314 1
Al2 Al 0.000 0.000 0.686 1
Pb1 Pb 0.500 0.500 0.500 1
Ba1 Ba 0.500 0.500 0.000 1
```

Results
Formation energy in eV/atom: -0.0454
Crystal system: orthorhombic
Raw total energy in eV/atom: -3.63

=====

4.
Compound: BaAl2Pb
Source: Alexandria via LeMat-Bulk
Functional: GGA-PBEsol
Structure: relaxed

Structure (CIF):
```
data_BaAl2Pb
_chemical_formula_sum 'Ba1 Al2 Pb1'
_cell_length_a 3.527
_cell_length_b 3.932
_cell_length_c 7.670
_cell_angle_alpha 90.00
_cell_angle_beta 90.00
_cell_angle_gamma 90.00
_symmetry_space_group_name_H-M 'P 1'
_symmetry_Int_Tables_number 1
loop_
_symmetry_equiv_pos_as_xyz
'x,y,z'
loop_
_atom_site_label
_atom_site_type_symbol
_atom_site_fract_x
_atom_site_fract_y
_atom_site_fract_z
_atom_site_occupancy
Al1 Al 0.500 0.500 0.180 1
Al2 Al 0.000 0.000 0.030 1
Pb1 Pb 0.500 0.500 0.810 1
Ba1 Ba 0.000 0.000 0.480 1
```

Results
Formation energy in eV/atom: -0.1086
Crystal system: orthorhombic
Raw total energy in eV/atom: -3.69

=====

5.
Compound: BaAl2Pb
Source: Alexandria via LeMat-Bulk
Functional: GGA-PBEsol
Structure: relaxed

Structure (CIF):
```
data_BaAl2Pb
_chemical_formula_sum 'Ba1 Al2 Pb1'
_cell_length_a 4.327
_cell_length_b 4.480
_cell_length_c 6.858
_cell_angle_alpha 109.06
_cell_angle_beta 108.39
_cell_angle_gamma 90.00
_symmetry_space_group_name_H-M 'P 1'
_symmetry_Int_Tables_number 1
loop_
_symmetry_equiv_pos_as_xyz
'x,y,z'
loop_
_atom_site_label
_atom_site_type_symbol
_atom_site_fract_x
_atom_site_fract_y
_atom_site_fract_z
_atom_site_occupancy
Pb1 Pb 0.242 0.742 0.484 1
Al1 Al 0.083 0.083 0.166 1
Al2 Al 0.710 0.210 0.421 1
Ba1 Ba 0.465 0.465 0.929 1
```

Results
Formation energy in eV/atom: -0.0835
Crystal system: orthorhombic
Raw total energy in eV/atom: -3.67

=====

6.
Compound: Ba3AlPb
Source: Alexandria via LeMat-Bulk
Functional: GGA-PBEsol
Structure: relaxed

Structure (CIF):
```
data_Ba3AlPb
_chemical_formula_sum 'Ba3 Al1 Pb1'
_cell_length_a 6.576
_cell_length_b 6.576
_cell_length_c 6.576
_cell_angle_alpha 90.00
_cell_angle_beta 90.00
_cell_angle_gamma 90.00
_symmetry_space_group_name_H-M 'P 1'
_symmetry_Int_Tables_number 1
loop_
_symmetry_equiv_pos_as_xyz
'x,y,z'
loop_
_atom_site_label
_atom_site_type_symbol
_atom_site_fract_x
_atom_site_fract_y
_atom_site_fract_z
_atom_site_occupancy
Ba1 Ba 0.000 0.500 0.000 1
Ba2 Ba 0.500 0.000 0.000 1
Ba3 Ba 0.000 0.000 0.500 1
Pb1 Pb 0.000 0.000 0.000 1
Al1 Al 0.500 0.500 0.500 1
```

Results
Formation energy in eV/atom: 0.2238
Crystal system: cubic
Raw total energy in eV/atom: -2.68

=====

7.
Compound: BaAl2Pb
Source: Alexandria via LeMat-Bulk
Functional: GGA-PBEsol
Structure: relaxed

Structure (CIF):
```
data_BaAl2Pb
_chemical_formula_sum 'Ba1 Al2 Pb1'
_cell_length_a 3.438
_cell_length_b 4.925
_cell_length_c 6.705
_cell_angle_alpha 90.00
_cell_angle_beta 98.00
_cell_angle_gamma 90.00
_symmetry_space_group_name_H-M 'P 1'
_symmetry_Int_Tables_number 1
loop_
_symmetry_equiv_pos_as_xyz
'x,y,z'
loop_
_atom_site_label
_atom_site_type_symbol
_atom_site_fract_x
_atom_site_fract_y
_atom_site_fract_z
_atom_site_occupancy
Al1 Al 0.808 0.000 0.688 1
Al2 Al 0.192 0.000 0.312 1
Pb1 Pb 0.000 0.500 0.500 1
Ba1 Ba 0.500 0.500 0.000 1
```

Results
Formation energy in eV/atom: 0.0459
Crystal system: monoclinic
Raw total energy in eV/atom: -3.54

=====

8.
Compound: BaAlPb
Source: Alexandria via LeMat-Bulk
Functional: GGA-PBEsol
Structure: relaxed

Structure (CIF):
```
data_BaAlPb
_chemical_formula_sum 'Ba1 Al1 Pb1'
_cell_length_a 4.707
_cell_length_b 4.707
_cell_length_c 5.107
_cell_angle_alpha 90.00
_cell_angle_beta 90.00
_cell_angle_gamma 120.00
_symmetry_space_group_name_H-M 'P 1'
_symmetry_Int_Tables_number 1
loop_
_symmetry_equiv_pos_as_xyz
'x,y,z'
loop_
_atom_site_label
_atom_site_type_symbol
_atom_site_fract_x
_atom_site_fract_y
_atom_site_fract_z
_atom_site_occupancy
Al1 Al 0.000 0.000 0.114 1
Ba1 Ba 0.333 0.667 0.673 1
Pb1 Pb 0.667 0.333 0.212 1
```

Results
Formation energy in eV/atom: -0.3328
Crystal system: trigonal
Raw total energy in eV/atom: -3.75

=====

9.
Compound: Ba2AlPb
Source: Alexandria via LeMat-Bulk
Functional: GGA-PBEsol
Structure: relaxed

Structure (CIF):
```
data_Ba2AlPb
_chemical_formula_sum 'Ba2 Al1 Pb1'
_cell_length_a 4.661
_cell_length_b 5.121
_cell_length_c 6.905
_cell_angle_alpha 111.76
_cell_angle_beta 90.00
_cell_angle_gamma 90.00
_symmetry_space_group_name_H-M 'P 1'
_symmetry_Int_Tables_number 1
loop_
_symmetry_equiv_pos_as_xyz
'x,y,z'
loop_
_atom_site_label
_atom_site_type_symbol
_atom_site_fract_x
_atom_site_fract_y
_atom_site_fract_z
_atom_site_occupancy
Ba1 Ba 0.000 0.106 0.211 1
Ba2 Ba 0.500 0.387 0.774 1
Al1 Al 0.500 0.682 0.364 1
Pb1 Pb 0.000 0.814 0.628 1
```

Results
Formation energy in eV/atom: -0.3655
Crystal system: orthorhombic
Raw total energy in eV/atom: -3.46

=====

10.
Compound: BaAl2Pb
Source: Alexandria via LeMat-Bulk
Functional: GGA-PBEsol
Structure: relaxed

Structure (CIF):
```
data_BaAl2Pb
_chemical_formula_sum 'Ba1 Al2 Pb1'
_cell_length_a 5.350
_cell_length_b 5.350
_cell_length_c 5.350
_cell_angle_alpha 60.00
_cell_angle_beta 60.00
_cell_angle_gamma 60.00
_symmetry_space_group_name_H-M 'P 1'
_symmetry_Int_Tables_number 1
loop_
_symmetry_equiv_pos_as_xyz
'x,y,z'
loop_
_atom_site_label
_atom_site_type_symbol
_atom_site_fract_x
_atom_site_fract_y
_atom_site_fract_z
_atom_site_occupancy
Ba1 Ba 0.500 0.500 0.500 1
Al1 Al 0.000 0.000 0.000 1
Al2 Al 0.750 0.750 0.750 1
Pb1 Pb 0.250 0.250 0.250 1
```

Results
Formation energy in eV/atom: 0.0577
Crystal system: cubic
Raw total energy in eV/atom: -3.52

=====

11.
Compound: BaAlPbS2
Source: Alexandria via LeMat-Bulk
Functional: GGA-PBEsol
Structure: relaxed

Structure (CIF):
```
data_BaAlPbS2
_chemical_formula_sum 'Ba1 Al1 Pb1 S2'
_cell_length_a 5.667
_cell_length_b 5.667
_cell_length_c 5.723
_cell_angle_alpha 90.00
_cell_angle_beta 90.00
_cell_angle_gamma 90.00
_symmetry_space_group_name_H-M 'P 1'
_symmetry_Int_Tables_number 1
loop_
_symmetry_equiv_pos_as_xyz
'x,y,z'
loop_
_atom_site_label
_atom_site_type_symbol
_atom_site_fract_x
_atom_site_fract_y
_atom_site_fract_z
_atom_site_occupancy
Al1 Al 0.000 0.000 0.500 1
Pb1 Pb 0.500 0.500 0.500 1
S1 S 0.500 0.000 0.000 1
S2 S 0.000 0.500 0.000 1
Ba1 Ba 0.000 0.000 0.000 1
```

Results
Crystal system: tetragonal
Raw total energy in eV/atom: -3.28
Formation energy (no corrections) in meV/atom: 525.5

=====

12.
Compound: BaAl2Pd2
Source: Alexandria via LeMat-Bulk
Functional: GGA-PBEsol
Structure: relaxed

Structure (CIF):
```
data_BaAl2Pd2
_chemical_formula_sum 'Ba1 Al2 Pd2'
_cell_length_a 4.277
_cell_length_b 4.277
_cell_length_c 6.494
_cell_angle_alpha 109.23
_cell_angle_beta 109.23
_cell_angle_gamma 90.00
_symmetry_space_group_name_H-M 'P 1'
_symmetry_Int_Tables_number 1
loop_
_symmetry_equiv_pos_as_xyz
'x,y,z'
loop_
_atom_site_label
_atom_site_type_symbol
_atom_site_fract_x
_atom_site_fract_y
_atom_site_fract_z
_atom_site_occupancy
Pd1 Pd 0.369 0.369 0.738 1
Pd2 Pd 0.631 0.631 0.262 1
Al1 Al 0.250 0.750 0.500 1
Al2 Al 0.750 0.250 0.500 1
Ba1 Ba 0.000 0.000 0.000 1
```

Results
Formation energy in eV/atom: -0.6453
Crystal system: tetragonal
Raw total energy in eV/atom: -5.10

=====

D(E_F) list, top to bottom, in states/eV/cell: 2.57 1.44 1.77 2.06 2.44 5.06 1.87 1.66 3.53 1.88 6.30 2.44